[1]
## La2NpVN5 (PBE-GGA)

Data for a relaxed La2NpVN5 crystal.

Cell and atoms, written as POSCAR:
```
La2NpVN5
1.0
1.754 -6.984 0.000
1.754 6.984 0.000
0.000 0.000 10.652
La Np V N
4 2 2 10
Cartesian
1.754 5.483 5.326
1.754 5.025 1.161
1.754 -5.025 6.487
1.754 -5.483 0.000
1.754 4.099 8.721
1.754 -4.099 3.395
1.754 0.123 2.906
1.754 -0.123 8.232
1.754 6.408 8.934
1.754 3.043 4.810
1.754 2.646 2.079
1.754 1.746 8.691
1.754 0.112 6.462
1.754 -0.112 1.136
1.754 -1.746 3.365
1.754 -2.646 7.405
1.754 -3.043 10.136
1.754 -6.408 3.608
```

Values from the calculation:
space group: Cmc2_1 (36)
energy relative to the elements, uncorrected: -1228 meV/atom


[2]
## Pr4Ag3Sn (PBE-GGA)

Data for a relaxed Pr4Ag3Sn crystal.

Cell and atoms, written as POSCAR:
```
Pr4Ag3Sn
1.0
0.000 3.822 7.645
3.812 0.000 7.645
3.812 3.822 0.000
Pr Ag Sn
4 3 1
Cartesian
1.906 1.911 1.939
1.906 1.911 5.706
5.717 5.733 9.585
5.717 5.733 13.352
0.000 0.000 0.000
3.812 3.822 3.793
3.812 3.822 11.498
3.812 3.822 7.645
```

Values from the calculation:
space group: Fmmm (69)
E_form: -0.370 eV per atom


| no. | Fermi-level density of states (states/eV/f.u.) | uncorrected energy (eV per atom) | spin magnetization (μB/f.u.) |
| --- | --- | --- | --- |
| 1 | 6.3 | -9.40 | 2.97 |
| 2 | 8.8 | -4.33 | 1.05 |